The following is a GGA-PBE calculation of a relaxed structure of Ba5Cu2I2, from Alexandria.

```
Ba5Cu2I2
1.0
9.1841 -4.5086 0.0000
9.1841 4.5086 0.0000
0.0000 0.0000 9.0167
Ba Cu I
10 4 4
Direct
0.0000 0.0000 0.0000
0.0405 0.7233 0.6577
0.2233 0.5405 0.1577
0.2767 0.9595 0.6577
0.4595 0.7767 0.1577
0.5000 0.5000 0.5000
0.5405 0.2233 0.8423
0.7233 0.0405 0.3423
0.7767 0.4595 0.8423
0.9595 0.2767 0.3423
0.1273 0.8727 0.3732
0.3727 0.6273 0.8732
0.6273 0.3727 0.1268
0.8727 0.1273 0.6268
0.2109 0.2109 0.0000
0.2891 0.2891 0.5000
0.7109 0.7109 0.5000
0.7891 0.7891 0.0000
```

Results
Raw formation energy ... -4.80 eV per formula unit
Fermi-level density of states ... 0.8656 states/eV/atom
E_tot ... -51.42 eV/cell
Total magnetic moment ... 0.0 μB per cell

The following is a GGA-PBE calculation of a relaxed structure of Ba2CuI, from Alexandria.

```
Ba2CuI
1.0
0.0000 4.2036 4.2036
4.2036 0.0000 4.2036
4.2036 4.2036 0.0000
Ba Cu I
2 1 1
Direct
0.2500 0.2500 0.2500
0.7500 0.7500 0.7500
0.0000 0.0000 0.0000
0.5000 0.5000 0.5000
```

Results
Raw formation energy ... -1.75 eV per formula unit
Fermi-level density of states ... 1.0399 states/eV/atom
E_tot ... -11.25 eV/cell
Total magnetic moment ... 1.3 μB per cell

The following is a GGA-PBE calculation of a relaxed structure of Ba2Cu2I, from Alexandria.

```
Ba2Cu2I
1.0
-2.0409 2.0409 9.7486
2.0409 -2.0409 9.7486
2.0409 2.0409 -9.7486
Ba Cu I
2 2 1
Direct
0.1262 0.1262 0.0000
0.8738 0.8738 0.0000
0.2500 0.7500 0.5000
0.7500 0.2500 0.5000
0.5000 0.5000 0.0000
```

Results
Raw formation energy ... -1.56 eV per formula unit
Fermi-level density of states ... 0.8997 states/eV/atom
E_tot ... -15.15 eV/cell
Total magnetic moment ... 0.0 μB per cell

The following is a GGA-PBE calculation of a relaxed structure of Ba2CuI, from Alexandria.

```
Ba2CuI
1.0
2.3396 1.3508 8.9088
-2.3396 1.3508 8.9088
0.0000 -2.7015 8.9088
Ba Cu I
2 1 1
Direct
0.0000 0.0000 0.0000
0.1971 0.1971 0.1971
0.5979 0.5979 0.5979
0.7663 0.7663 0.7663
```

Results
Raw formation energy ... -2.64 eV per formula unit
Fermi-level density of states ... 0.2640 states/eV/atom
E_tot ... -12.14 eV/cell
Total magnetic moment ... 0.0 μB per cell

The following is a GGA-PBE calculation of a relaxed structure of Ba2CuI, from Alexandria.

```
Ba2CuI
1.0
4.0919 0.0000 0.0000
0.0000 4.0919 0.0000
0.0000 0.0000 8.8448
Ba Cu I
2 1 1
Direct
0.0000 0.0000 0.2142
0.0000 0.0000 0.7858
0.5000 0.5000 0.0000
0.5000 0.5000 0.5000
```

Results
Raw formation energy ... -2.32 eV per formula unit
Fermi-level density of states ... 0.6487 states/eV/atom
E_tot ... -11.81 eV/cell
Total magnetic moment ... 0.0 μB per cell

The following is a GGA-PBE calculation of a relaxed structure of BaCuI2, from Alexandria.

```
BaCuI2
1.0
2.1818 1.2597 9.6594
-2.1818 1.2597 9.6594
0.0000 -2.5193 9.6594
Ba Cu I
1 1 2
Direct
0.0000 0.0000 0.0000
0.5000 0.5000 0.5000
0.1151 0.1151 0.1151
0.8849 0.8849 0.8849
```

Results
Raw formation energy ... -1.50 eV per formula unit
Fermi-level density of states ... 0.1445 states/eV/atom
E_tot ... -10.62 eV/cell
Total magnetic moment ... 0.5 μB per cell

What did the third record say?
The following is a GGA-PBE calculation of a relaxed structure of Ba2Cu2I, from Alexandria.

```
Ba2Cu2I
1.0
-2.0409 2.0409 9.7486
2.0409 -2.0409 9.7486
2.0409 2.0409 -9.7486
Ba Cu I
2 2 1
Direct
0.1262 0.1262 0.0000
0.8738 0.8738 0.0000
0.2500 0.7500 0.5000
0.7500 0.2500 0.5000
0.5000 0.5000 0.0000
```

Results
Raw formation energy ... -1.56 eV per formula unit
Fermi-level density of states ... 0.8997 states/eV/atom
E_tot ... -15.15 eV/cell
Total magnetic moment ... 0.0 μB per cell